[1]
A plane-wave DFT calculation with PBE was carried out for KSnHg6 after structural relaxation.

Geometry as CIF:
```
data_KSnHg6
_space_group_name_H-M_alt 'P -1'
_space_group_IT_number 2
_space_group_name_Hall '-P 1'
_cell_length_a 5.148
_cell_length_b 6.981
_cell_length_c 8.023
_cell_angle_alpha 115.20
_cell_angle_beta 108.47
_cell_angle_gamma 90.82
loop_
_atom_site_label
_atom_site_fract_x
_atom_site_fract_y
_atom_site_fract_z
K1 0.000 0.000 0.000
Sn1 0.500 0.500 0.000
Hg1 0.127 0.636 0.252
Hg2 0.320 0.591 0.638
Hg3 0.321 0.041 0.647
```

Calculated values
ΔE_f   -90 meV per atom
E   -0.954 eV per atom


[2]
A plane-wave DFT calculation with PBE was carried out for KSn3Hg3 after structural relaxation.

Geometry as CIF:
```
data_KSn3Hg3
_space_group_name_H-M_alt 'P m -3 n'
_space_group_IT_number 223
_space_group_name_Hall '-P 4n 2 3'
_cell_length_a 8.061
_cell_length_b 8.061
_cell_length_c 8.061
_cell_angle_alpha 90.00
_cell_angle_beta 90.00
_cell_angle_gamma 90.00
loop_
_atom_site_label
_atom_site_fract_x
_atom_site_fract_y
_atom_site_fract_z
K1 0.000 0.000 0.000
Sn1 0.000 0.250 0.500
Hg1 0.000 0.500 0.250
```

Calculated values
ΔE_f   55 meV per atom
E   -1.947 eV per atom


[3]
A plane-wave DFT calculation with PBE was carried out for K2SnHg2 after structural relaxation.

Geometry as CIF:
```
data_K2SnHg2
_space_group_name_H-M_alt 'I m m m'
_space_group_IT_number 71
_space_group_name_Hall '-I 2 2'
_cell_length_a 4.954
_cell_length_b 6.573
_cell_length_c 10.645
_cell_angle_alpha 90.00
_cell_angle_beta 90.00
_cell_angle_gamma 90.00
loop_
_atom_site_label
_atom_site_fract_x
_atom_site_fract_y
_atom_site_fract_z
K1 0.000 0.000 0.200
Sn1 0.000 0.500 0.000
Hg1 0.000 0.264 0.500
```

Calculated values
ΔE_f   -258 meV per atom
E   -1.619 eV per atom
Excess energy over the best structure of this formula in the dataset   0.0 kJ/mol of atoms


[4]
A plane-wave DFT calculation with PBE was carried out for K2Sn6Hg3 after structural relaxation.

Geometry as CIF:
```
data_K2Sn6Hg3
_space_group_name_H-M_alt 'P -6 2 m'
_space_group_IT_number 189
_space_group_name_Hall 'P -6 -2'
_cell_length_a 8.9326
_cell_length_b 8.9326
_cell_length_c 5.0434
_cell_angle_alpha 90.00
_cell_angle_beta 90.00
_cell_angle_gamma 120.00
loop_
_atom_site_label
_atom_site_fract_x
_atom_site_fract_y
_atom_site_fract_z
K1 0.3333 0.6667 0.0000
Sn1 0.0000 0.2570 0.5000
Sn2 0.0000 0.7990 0.0000
Hg1 0.0000 0.5877 0.5000
```

Calculated values
ΔE_f   -117 meV per atom
E   -2.582 eV per atom


[5]
A plane-wave DFT calculation with PBE was carried out for K2SnHg2 after structural relaxation.

Geometry as CIF:
```
data_K2SnHg2
_space_group_name_H-M_alt 'I 4/m m m'
_space_group_IT_number 139
_space_group_name_Hall '-I 4 2'
_cell_length_a 5.130
_cell_length_b 5.130
_cell_length_c 13.961
_cell_angle_alpha 90.00
_cell_angle_beta 90.00
_cell_angle_gamma 90.00
loop_
_atom_site_label
_atom_site_fract_x
_atom_site_fract_y
_atom_site_fract_z
K1 0.000 0.500 0.250
Sn1 0.000 0.000 0.000
Hg1 0.000 0.000 0.400
```

Calculated values
ΔE_f   86 meV per atom
E   -1.274 eV per atom
Excess energy over the best structure of this formula in the dataset   33.3 kJ/mol of atoms


[6]
A plane-wave DFT calculation with PBE was carried out for KSn3Hg after structural relaxation.

Geometry as CIF:
```
data_KSn3Hg
_space_group_name_H-M_alt 'P m -3 m'
_space_group_IT_number 221
_space_group_name_Hall '-P 4 2 3'
_cell_length_a 5.740
_cell_length_b 5.740
_cell_length_c 5.740
_cell_angle_alpha 90.00
_cell_angle_beta 90.00
_cell_angle_gamma 90.00
loop_
_atom_site_label
_atom_site_fract_x
_atom_site_fract_y
_atom_site_fract_z
K1 0.000 0.000 0.000
Sn1 0.000 0.500 0.500
Hg1 0.500 0.500 0.500
```

Calculated values
ΔE_f   269 meV per atom
E   -2.412 eV per atom
Excess energy over the best structure of this formula in the dataset   40.2 kJ/mol of atoms


[7]
A plane-wave DFT calculation with PBE was carried out for K3Sn5Hg2 after structural relaxation.

Geometry as CIF:
```
data_K3Sn5Hg2
_space_group_name_H-M_alt 'I b a m'
_space_group_IT_number 72
_space_group_name_Hall '-I 2 2c'
_cell_length_a 12.006
_cell_length_b 15.085
_cell_length_c 7.656
_cell_angle_alpha 90.00
_cell_angle_beta 90.00
_cell_angle_gamma 90.00
loop_
_atom_site_label
_atom_site_fract_x
_atom_site_fract_y
_atom_site_fract_z
K1 0.000 0.000 0.250
K2 0.229 0.372 0.000
Sn1 0.000 0.242 0.250
Sn2 0.000 0.500 0.250
Sn3 0.116 0.372 0.500
Hg1 0.147 0.149 0.000
```

Calculated values
ΔE_f   -147 meV per atom
E   -2.538 eV per atom


[8]
A plane-wave DFT calculation with PBE was carried out for K2Sn15Hg2 after structural relaxation.

Geometry as CIF:
```
data_K2Sn15Hg2
_space_group_name_H-M_alt 'R -3 m'
_space_group_IT_number 166
_space_group_name_Hall '-R 3 2"'
_cell_length_a 10.9816
_cell_length_b 10.9816
_cell_length_c 16.6004
_cell_angle_alpha 90.00
_cell_angle_beta 90.00
_cell_angle_gamma 120.00
loop_
_atom_site_label
_atom_site_fract_x
_atom_site_fract_y
_atom_site_fract_z
K1 0.0000 0.0000 0.1683
Sn1 0.0000 0.2959 0.5000
Sn2 0.0000 0.5000 0.0000
Sn3 0.0083 0.5041 0.6474
Hg1 0.0000 0.0000 0.4015
```

Calculated values
ΔE_f   6 meV per atom
E   -3.301 eV per atom


[9]
A plane-wave DFT calculation with PBE was carried out for KSnHg2 after structural relaxation.

Geometry as CIF:
```
data_KSnHg2
_space_group_name_H-M_alt 'R -3 m'
_space_group_IT_number 166
_space_group_name_Hall '-R 3 2"'
_cell_length_a 5.0531
_cell_length_b 5.0531
_cell_length_c 17.6625
_cell_angle_alpha 90.00
_cell_angle_beta 90.00
_cell_angle_gamma 120.00
loop_
_atom_site_label
_atom_site_fract_x
_atom_site_fract_y
_atom_site_fract_z
K1 0.0000 0.0000 0.0000
Sn1 0.0000 0.0000 0.5000
Hg1 0.0000 0.0000 0.2205
```

Calculated values
ΔE_f   -156 meV per atom
E   -1.582 eV per atom


[10]
A plane-wave DFT calculation with PBE was carried out for KSnHg4 after structural relaxation.

Geometry as CIF:
```
data_KSnHg4
_space_group_name_H-M_alt 'C 1 2/m 1'
_space_group_IT_number 12
_space_group_name_Hall '-C 2y'
_cell_length_a 17.127
_cell_length_b 7.054
_cell_length_c 6.374
_cell_angle_alpha 90.00
_cell_angle_beta 106.76
_cell_angle_gamma 90.00
loop_
_atom_site_label
_atom_site_fract_x
_atom_site_fract_y
_atom_site_fract_z
K1 0.193 0.000 0.296
Sn1 0.066 0.500 0.377
Hg1 0.000 0.216 0.000
Hg2 0.124 0.213 0.732
Hg3 0.197 0.500 0.109
```

Calculated values
ΔE_f   -140 meV per atom
E   -1.192 eV per atom
Excess energy over the best structure of this formula in the dataset   0.0 kJ/mol of atoms


[11]
A plane-wave DFT calculation with PBE was carried out for K3Sn5Hg12 after structural relaxation.

Geometry as CIF:
```
data_K3Sn5Hg12
_space_group_name_H-M_alt 'I a -3 d'
_space_group_IT_number 230
_space_group_name_Hall '-I 4bd 2c 3'
_cell_length_a 18.479
_cell_length_b 18.479
_cell_length_c 18.479
_cell_angle_alpha 90.00
_cell_angle_beta 90.00
_cell_angle_gamma 90.00
loop_
_atom_site_label
_atom_site_fract_x
_atom_site_fract_y
_atom_site_fract_z
K1 0.000 0.250 0.125
Sn1 0.000 0.000 0.000
Sn2 0.000 0.250 0.375
Hg1 0.067 0.067 0.624
```

Calculated values
ΔE_f   37 meV per atom
E   -1.309 eV per atom


[12]
A plane-wave DFT calculation with PBE was carried out for K2SnHg8 after structural relaxation.

Geometry as CIF:
```
data_K2SnHg8
_space_group_name_H-M_alt 'C 1 2/m 1'
_space_group_IT_number 12
_space_group_name_Hall '-C 2y'
_cell_length_a 8.716
_cell_length_b 15.953
_cell_length_c 6.272
_cell_angle_alpha 90.00
_cell_angle_beta 128.60
_cell_angle_gamma 90.00
loop_
_atom_site_label
_atom_site_fract_x
_atom_site_fract_y
_atom_site_fract_z
K1 0.000 0.152 0.000
Sn1 0.000 0.000 0.500
Hg1 0.000 0.268 0.500
Hg2 0.141 0.500 0.819
Hg3 0.181 0.371 0.296
```

Calculated values
ΔE_f   -139 meV per atom
E   -0.922 eV per atom